[1]
DFT (PBE) results for Sr2SbOs after structural relaxation.

Values from the calculation:
As for the uncorrected formation energy: 302 meV/atom. The symmetry is I-4m2. The crystal system is tetragonal.

abc: 5.184 5.184 7.316
angles: 90.00 90.00 90.00
Fractional positions:
Sr (0.000, 0.000, 0.000)
Sr (0.000, 0.500, 0.250)
Sr (0.500, 0.000, 0.750)
Sr (0.500, 0.500, 0.500)
Sb (0.000, 0.500, 0.750)
Sb (0.500, 0.000, 0.250)
Os (0.000, 0.000, 0.500)
Os (0.500, 0.500, 0.000)

---

[2]
DFT (PBE) results for BaAlP2 after structural relaxation.

Values from the calculation:
The symmetry is F-43m. The electronic total energy comes out at -3.833 eV/atom. The crystal system is cubic.

abc: 7.229 7.229 7.229
angles: 90.00 90.00 90.00
Fractional positions:
Ba (0.000, 0.000, 0.000)
Ba (0.000, 0.500, 0.500)
Ba (0.500, 0.000, 0.500)
Ba (0.500, 0.500, 0.000)
Al (0.250, 0.250, 0.250)
Al (0.250, 0.750, 0.750)
Al (0.750, 0.250, 0.750)
Al (0.750, 0.750, 0.250)
P (0.000, 0.000, 0.500)
P (0.000, 0.500, 0.000)
P (0.250, 0.250, 0.750)
P (0.250, 0.750, 0.250)
P (0.500, 0.000, 0.000)
P (0.500, 0.500, 0.500)
P (0.750, 0.250, 0.250)
P (0.750, 0.750, 0.750)

---

[3]
DFT (PBE) results for ZnCrRe2 after structural relaxation.

Values from the calculation:
The symmetry is P4mm. The electronic total energy comes out at -8.752 eV/atom. The crystal system is tetragonal.

abc: 3.033 3.033 6.223
angles: 90.00 90.00 90.00
Fractional positions:
Zn (0.000, 0.000, 0.000)
Cr (0.500, 0.500, 0.237)
Re (0.000, 0.000, 0.486)
Re (0.500, 0.500, 0.736)

---

[4]
DFT (PBE) results for AlAg2Pb after structural relaxation.

Values from the calculation:
The value obtained for the energy above the lowest structure with this stoichiometry is 0.1864 eV per atom. The symmetry is F-43m. The crystal system is cubic.

abc: 6.985 6.985 6.985
angles: 90.00 90.00 90.00
Fractional positions:
Al (0.000, 0.000, 0.000)
Al (0.000, 0.500, 0.500)
Al (0.500, 0.000, 0.500)
Al (0.500, 0.500, 0.000)
Ag (0.000, 0.000, 0.500)
Ag (0.000, 0.500, 0.000)
Ag (0.250, 0.250, 0.750)
Ag (0.250, 0.750, 0.250)
Ag (0.500, 0.000, 0.000)
Ag (0.500, 0.500, 0.500)
Ag (0.750, 0.250, 0.250)
Ag (0.750, 0.750, 0.750)
Pb (0.250, 0.250, 0.250)
Pb (0.250, 0.750, 0.750)
Pb (0.750, 0.250, 0.750)
Pb (0.750, 0.750, 0.250)

---

[5]
DFT (PBE) results for NbRuPt2 after structural relaxation.

Values from the calculation:
The symmetry is I4/mmm. The electronic total energy comes out at -8.076 eV/atom. The crystal system is tetragonal.

abc: 4.841 4.841 5.482
angles: 90.00 90.00 90.00
Fractional positions:
Nb (0.000, 0.000, 0.000)
Nb (0.500, 0.500, 0.500)
Ru (0.000, 0.000, 0.500)
Ru (0.500, 0.500, 0.000)
Pt (0.000, 0.500, 0.250)
Pt (0.000, 0.500, 0.750)
Pt (0.500, 0.000, 0.250)
Pt (0.500, 0.000, 0.750)

---

[6]
DFT (PBE) results for CsCaRu2 after structural relaxation.

Values from the calculation:
The value obtained for the energy above the lowest structure with this stoichiometry is 0.1120 eV per atom. The symmetry is I-42d. The crystal system is tetragonal.

abc: 8.245 8.245 5.569
angles: 90.00 90.00 90.00
Fractional positions:
Cs (0.000, 0.000, 0.000)
Cs (0.000, 0.500, 0.250)
Cs (0.500, 0.000, 0.750)
Cs (0.500, 0.500, 0.500)
Ca (0.000, 0.000, 0.500)
Ca (0.000, 0.500, 0.750)
Ca (0.500, 0.000, 0.250)
Ca (0.500, 0.500, 0.000)
Ru (0.247, 0.750, 0.625)
Ru (0.250, 0.247, 0.375)
Ru (0.250, 0.253, 0.875)
Ru (0.253, 0.750, 0.125)
Ru (0.747, 0.250, 0.125)
Ru (0.750, 0.747, 0.875)
Ru (0.750, 0.753, 0.375)
Ru (0.753, 0.250, 0.625)

---

[7]
DFT (PBE) results for LiSc2Ni after structural relaxation.

Values from the calculation:
The symmetry is F-43m. The electronic total energy comes out at -5.037 eV/atom. The crystal system is cubic.

abc: 6.457 6.457 6.457
angles: 90.00 90.00 90.00
Fractional positions:
Li (0.000, 0.000, 0.000)
Li (0.000, 0.500, 0.500)
Li (0.500, 0.000, 0.500)
Li (0.500, 0.500, 0.000)
Sc (0.000, 0.000, 0.500)
Sc (0.000, 0.500, 0.000)
Sc (0.250, 0.250, 0.250)
Sc (0.250, 0.750, 0.750)
Sc (0.500, 0.000, 0.000)
Sc (0.500, 0.500, 0.500)
Sc (0.750, 0.250, 0.750)
Sc (0.750, 0.750, 0.250)
Ni (0.250, 0.250, 0.750)
Ni (0.250, 0.750, 0.250)
Ni (0.750, 0.250, 0.250)
Ni (0.750, 0.750, 0.750)

---

[8]
DFT (PBE) results for LiSe3 after structural relaxation.

Values from the calculation:
As for the uncorrected formation energy: -157 meV/atom. The value obtained for the energy above the lowest structure with this stoichiometry is 0.2861 eV per atom. The symmetry is Pmmm. The crystal system is orthorhombic.

abc: 2.729 5.110 6.993
angles: 90.00 90.00 90.00
Fractional positions:
Li (0.000, 0.000, 0.000)
Se (0.500, 0.234, 0.500)
Se (0.500, 0.500, 0.000)
Se (0.500, 0.766, 0.500)